The following is a DFT calculation (PBE+U) of crystalline CsVBiF6 at its relaxed geometry.

Properties
Fermi-level density of states ... 0.2516 states/eV per atom
Volume ... 645.7 Å³ per cell
Raw total energy ... -5.19 eV per atom

a = 7.0017 Å, b = 8.1693 Å, c = 11.2895 Å
α = 90.00°, β = 90.00°, γ = 90.00°
Space group Imma (No. 74)
Asymmetric unit:
1 Cs 0.0000 0.2500 0.1498
2 V 0.0000 0.0000 0.5000
3 Bi 0.2500 0.2500 0.7500
4 F 0.0000 0.2500 0.4828
5 F 0.0000 0.2500 0.8961
6 F 0.1969 0.0116 0.6279